[1]
A plane-wave DFT calculation with GGA-PBE was carried out for an optimized crystal structure of Pr2Sm3Tm7.

Its density of states at the Fermi level is 1.465 states/eV/atom. As for the energy relative to the lowest polymorph listed for this composition: 0.00 eV per formula unit. As for the formation energy: 92.7 meV/atom.

It has space group P2/m (No. 10), with a = 6.329 Å, b = 3.520 Å, c = 17.468 Å, α = 90.00°, β = 96.27° and γ = 90.00°. The inequivalent atoms are Pr at (0.055, 0.000, 0.175), Sm at (0.455, 0.500, 0.842), Sm at (0.500, 0.000, 0.500), Tm at (0.000, 0.500, 0.500), Tm at (0.226, 0.000, 0.664), Tm at (0.255, 0.000, 0.000) and Tm at (0.274, 0.500, 0.338).

[2]
A plane-wave DFT calculation with GGA-PBE was carried out for an optimized crystal structure of ScTi2Rh3.

Its density of states at the Fermi level is 0.963 states/eV/atom. As for the formation energy: -833.3 meV/atom.

It has space group P4/mmm (No. 123), with a = 3.065 Å, b = 3.065 Å, c = 10.051 Å, α = 90.00°, β = 90.00° and γ = 90.00°. The inequivalent atoms are Sc at (0.000, 0.000, 0.000), Ti at (0.000, 0.000, 0.338), Rh at (0.500, 0.500, 0.185) and Rh at (0.500, 0.500, 0.500).

[3]
A plane-wave DFT calculation with GGA-PBE was carried out for an optimized crystal structure of La8Ho2Er.

Its density of states at the Fermi level is 1.743 states/eV/atom. As for the energy relative to the lowest polymorph listed for this composition: 0.00 eV per formula unit. As for the formation energy: 21.8 meV/atom.

It has space group C2/m (No. 12), with a = 18.679 Å, b = 5.215 Å, c = 8.226 Å, α = 90.00°, β = 105.26° and γ = 90.00°. The inequivalent atoms are La at (0.047, 0.000, 0.228), La at (0.092, 0.500, 0.953), La at (0.137, 0.000, 0.685), La at (0.182, 0.500, 0.412), Ho at (0.226, 0.000, 0.134) and Er at (0.000, 0.500, 0.500).

[4]
A plane-wave DFT calculation with GGA-PBE was carried out for an optimized crystal structure of MgZrPS2.

As for the uncorrected formation energy: 0.074 eV/atom. Its density of states at the Fermi level is 0.928 states/eV/atom. As for the energy relative to the lowest polymorph listed for this composition: 2.33 eV per formula unit.

It has space group P4/mmm (No. 123), with a = 4.604 Å, b = 4.604 Å, c = 4.796 Å, α = 90.00°, β = 90.00° and γ = 90.00°. The inequivalent atoms are Mg at (0.000, 0.000, 0.000), Zr at (0.500, 0.500, 0.500), P at (0.000, 0.000, 0.500) and S at (0.000, 0.500, 0.000).

[5]
A plane-wave DFT calculation with GGA-PBE was carried out for an optimized crystal structure of Nd3DyEr4.

Its density of states at the Fermi level is 1.554 states/eV/atom. As for the energy relative to the lowest polymorph listed for this composition: 0.92 eV per formula unit. As for the formation energy: 136.4 meV/atom.

It has space group Immm (No. 71), with a = 3.472 Å, b = 11.648 Å, c = 13.014 Å, α = 90.00°, β = 90.00° and γ = 90.00°. The inequivalent atoms are Nd at (0.000, 0.000, 0.000), Nd at (0.000, 0.500, 0.243), Dy at (0.000, 0.000, 0.500) and Er at (0.000, 0.245, 0.365).

[6]
A plane-wave DFT calculation with GGA-PBE was carried out for an optimized crystal structure of BeNiN2.

As for the uncorrected formation energy: 0.063 eV/atom. Its density of states at the Fermi level is 0.492 states/eV/atom.

It has space group I-42d (No. 122), with a = 4.168 Å, b = 4.168 Å, c = 8.052 Å, α = 90.00°, β = 90.00° and γ = 90.00°. The inequivalent atoms are Be at (0.000, 0.000, 0.000), Ni at (0.000, 0.000, 0.500) and N at (0.227, 0.250, 0.125).

[7]
A plane-wave DFT calculation with GGA-PBE was carried out for an optimized crystal structure of AcGdSe.

As for the uncorrected formation energy: -1.101 eV/atom. Its density of states at the Fermi level is 1.276 states/eV/atom. As for the energy relative to the lowest polymorph listed for this composition: 0.00 eV per formula unit.

It has space group P3m1 (No. 156), with a = 4.1037 Å, b = 4.1037 Å, c = 6.9705 Å, α = 90.00°, β = 90.00° and γ = 120.00°. The inequivalent atoms are Ac at (0.0000, 0.0000, 0.0000), Gd at (0.6667, 0.3333, 0.4486) and Se at (0.3333, 0.6667, 0.6947).

[8]
A plane-wave DFT calculation with GGA-PBE was carried out for an optimized crystal structure of HfMgRu.

Its density of states at the Fermi level is 0.461 states/eV/atom. As for the formation energy: -105.6 meV/atom.

It has space group Pnma (No. 62), with a = 8.844 Å, b = 4.434 Å, c = 6.301 Å, α = 90.00°, β = 90.00° and γ = 90.00°. The inequivalent atoms are Hf at (0.135, 0.250, 0.028), Mg at (0.106, 0.250, 0.528) and Ru at (0.125, 0.750, 0.788).

[9]
A plane-wave DFT calculation with GGA-PBE was carried out for an optimized crystal structure of Ni2SbPd2.

As for the uncorrected formation energy: -0.064 eV/atom. Its density of states at the Fermi level is 1.006 states/eV/atom. As for the energy relative to the lowest polymorph listed for this composition: 0.00 eV per formula unit.

It has space group P4/mbm (No. 127), with a = 6.317 Å, b = 6.317 Å, c = 3.823 Å, α = 90.00°, β = 90.00° and γ = 90.00°. The inequivalent atoms are Ni at (0.131, 0.369, 0.000), Sb at (0.000, 0.000, 0.000) and Pd at (0.164, 0.664, 0.500).

[10]
A plane-wave DFT calculation with GGA-PBE was carried out for an optimized crystal structure of TlPtW.

Its density of states at the Fermi level is 1.073 states/eV/atom. As for the energy relative to the lowest polymorph listed for this composition: 0.91 eV per formula unit. As for the formation energy: 668.4 meV/atom.

It has space group F-43m (No. 216), with a = 6.280 Å, b = 6.280 Å, c = 6.280 Å, α = 90.00°, β = 90.00° and γ = 90.00°. The inequivalent atoms are Tl at (0.000, 0.000, 0.000), Pt at (0.250, 0.250, 0.750) and W at (0.000, 0.000, 0.500).

[11]
A plane-wave DFT calculation with GGA-PBE was carried out for an optimized crystal structure of Sr6Ac.

Its density of states at the Fermi level is 2.097 states/eV/atom. As for the formation energy: 1095.5 meV/atom.

It has space group Im-3m (No. 229), with a = 9.680 Å, b = 9.680 Å, c = 9.680 Å, α = 90.00°, β = 90.00° and γ = 90.00°. The inequivalent atoms are Sr at (0.000, 0.250, 0.500) and Ac at (0.000, 0.000, 0.000).

[12]
A plane-wave DFT calculation with GGA-PBE was carried out for an optimized crystal structure of Ba3TaAg.

Its density of states at the Fermi level is 1.217 states/eV/atom. As for the energy relative to the lowest polymorph listed for this composition: 0.00 eV per formula unit. As for the formation energy: 875.2 meV/atom.

It has space group Pm-3m (No. 221), with a = 6.104 Å, b = 6.104 Å, c = 6.104 Å, α = 90.00°, β = 90.00° and γ = 90.00°. The inequivalent atoms are Ba at (0.000, 0.000, 0.500), Ta at (0.000, 0.000, 0.000) and Ag at (0.500, 0.500, 0.500).

[13]
A plane-wave DFT calculation with GGA-PBE was carried out for an optimized crystal structure of Ce6ThTl5.

Its density of states at the Fermi level is 2.949 states/eV/atom. As for the formation energy: -159.1 meV/atom.

It has space group Immm (No. 71), with a = 4.875 Å, b = 9.478 Å, c = 14.821 Å, α = 90.00°, β = 90.00° and γ = 90.00°. The inequivalent atoms are Ce at (0.000, 0.246, 0.000), Ce at (0.000, 0.252, 0.329), Th at (0.000, 0.000, 0.500), Tl at (0.000, 0.000, 0.169), Tl at (0.000, 0.500, 0.162) and Tl at (0.000, 0.500, 0.500).

[14]
A plane-wave DFT calculation with GGA-PBE was carried out for an optimized crystal structure of Pr2U2Te2Se5.

As for the uncorrected formation energy: -1.180 eV/atom. Its density of states at the Fermi level is 1.242 states/eV/atom.

It has space group I4/mmm (No. 139), with a = 5.500 Å, b = 5.500 Å, c = 26.135 Å, α = 90.00°, β = 90.00° and γ = 90.00°. The inequivalent atoms are Pr at (0.000, 0.000, 0.164), U at (0.000, 0.000, 0.397), Te at (0.000, 0.000, 0.283), Se at (0.000, 0.000, 0.500) and Se at (0.000, 0.500, 0.110).

[15]
A plane-wave DFT calculation with GGA-PBE was carried out for an optimized crystal structure of YTmCoIr.

Its density of states at the Fermi level is 0.383 states/eV/atom. As for the formation energy: -538.2 meV/atom.

It has space group F-43m (No. 216), with a = 6.749 Å, b = 6.749 Å, c = 6.749 Å, α = 90.00°, β = 90.00° and γ = 90.00°. The inequivalent atoms are Y at (0.000, 0.000, 0.000), Tm at (0.000, 0.000, 0.500), Co at (0.250, 0.250, 0.250) and Ir at (0.250, 0.250, 0.750).

[16]
A plane-wave DFT calculation with GGA-PBE was carried out for an optimized crystal structure of AsRu2.

Its density of states at the Fermi level is 1.393 states/eV/atom. As for the formation energy: 279.1 meV/atom.

It has space group I4/mcm (No. 140), with a = 5.713 Å, b = 5.713 Å, c = 5.404 Å, α = 90.00°, β = 90.00° and γ = 90.00°. The inequivalent atoms are As at (0.000, 0.000, 0.250) and Ru at (0.160, 0.340, 0.000).

[17]
A plane-wave DFT calculation with GGA-PBE was carried out for an optimized crystal structure of TbPr3Nd2Y6.

Its density of states at the Fermi level is 1.213 states/eV/atom. As for the formation energy: 10.0 meV/atom.

It has space group C2/m (No. 12), with a = 6.294 Å, b = 10.898 Å, c = 11.913 Å, α = 90.00°, β = 100.10° and γ = 90.00°. The inequivalent atoms are Tb at (0.000, 0.000, 0.000), Pr at (0.000, 0.167, 0.500), Pr at (0.000, 0.500, 0.500), Nd at (0.000, 0.333, 0.000), Y at (0.249, 0.166, 0.248) and Y at (0.250, 0.000, 0.751).

[18]
A plane-wave DFT calculation with GGA-PBE was carried out for an optimized crystal structure of NbPWCl2.

As for the uncorrected formation energy: 0.856 eV/atom. Its density of states at the Fermi level is 1.569 states/eV/atom. As for the energy relative to the lowest polymorph listed for this composition: 0.00 eV per formula unit.

It has space group P4/mmm (No. 123), with a = 4.681 Å, b = 4.681 Å, c = 4.902 Å, α = 90.00°, β = 90.00° and γ = 90.00°. The inequivalent atoms are Nb at (0.000, 0.000, 0.000), P at (0.500, 0.500, 0.000), W at (0.500, 0.500, 0.500) and Cl at (0.000, 0.500, 0.500).

[19]
A plane-wave DFT calculation with GGA-PBE was carried out for an optimized crystal structure of LaGa3Rh.

Its density of states at the Fermi level is 0.919 states/eV/atom. As for the energy relative to the lowest polymorph listed for this composition: 0.50 eV per formula unit. As for the formation energy: -517.6 meV/atom.

It has space group Pm-3m (No. 221), with a = 4.778 Å, b = 4.778 Å, c = 4.778 Å, α = 90.00°, β = 90.00° and γ = 90.00°. The inequivalent atoms are La at (0.000, 0.000, 0.000), Ga at (0.000, 0.500, 0.500) and Rh at (0.500, 0.500, 0.500).

[20]
A plane-wave DFT calculation with GGA-PBE was carried out for an optimized crystal structure of Dy2ErCo.

Its density of states at the Fermi level is 1.179 states/eV/atom. As for the energy relative to the lowest polymorph listed for this composition: 0.00 eV per formula unit. As for the formation energy: -169.4 meV/atom.

It has space group Pnma (No. 62), with a = 6.928 Å, b = 9.406 Å, c = 6.183 Å, α = 90.00°, β = 90.00° and γ = 90.00°. The inequivalent atoms are Dy at (0.176, 0.068, 0.177), Er at (0.043, 0.250, 0.643) and Co at (0.113, 0.750, 0.953).